# 1
This record from Alexandria via LeMat-Bulk describes ErTaOsRh after structural relaxation. The functional is PBE-GGA.

Properties
- raw total energy (eV per atom) = -9.161
- formation enthalpy at 0 K (meV per atom) = -411.3
- space group = F-43m

```
4
Lattice="-2.0828 3.7473 -1.7503 -4.1762 1.2644 1.5507 -0.4526 3.8164 2.5834" Properties=species:S:1:pos:R:3 pbc="T T T"
Rh -5.0337 6.6210 1.7879
Er -3.3558 4.4140 1.1919
Os -1.6779 2.2070 0.5960
Ta 0.0000 0.0000 0.0000
```

---

# 2
This record from Alexandria via LeMat-Bulk describes YMg2B after structural relaxation. The functional is PBE-GGA.

Properties
- raw total energy (eV per atom) = -3.203
- formation enthalpy at 0 K (meV per atom) = 879.8
- space group = I-42d

```
8
Lattice="6.1553 0.0000 0.0000 0.0000 6.1553 0.0000 3.0776 3.0776 5.7342" Properties=species:S:1:pos:R:3 pbc="T T T"
Y 0.0000 0.0000 0.0000
Y 6.1553 3.0776 2.8671
Mg 3.2959 1.5388 1.4336
Mg 2.8594 4.6164 1.4336
Mg 4.6164 5.9370 4.3007
Mg 7.6941 6.3735 4.3007
B 3.0776 3.0776 0.0000
B 3.0776 6.1553 2.8671
```

---

# 3
This record from Alexandria via LeMat-Bulk describes Ce5PaIr4 after structural relaxation. The functional is PBE-GGA.

Properties
- raw total energy (eV per atom) = -8.060
- formation enthalpy at 0 K (meV per atom) = -599.5
- space group = C2/m

```
10
Lattice="-0.9967 3.6659 1.5685 -2.6503 2.2407 -6.9209 -6.1506 -5.4832 3.5221" Properties=species:S:1:pos:R:3 pbc="T T T"
Ce -6.5013 0.8699 -0.7792
Ce -5.3245 -0.3063 2.7176
Ce -4.4731 0.7298 -4.5479
Ce -1.8235 2.9533 -2.6762
Ce -3.2962 -0.4464 -1.0511
Pa -0.4983 1.8330 0.7843
Ir -6.6710 -0.4192 -3.2591
Ir -9.0631 -0.1127 -0.1104
Ir -3.1266 0.8426 1.4288
Ir -0.7344 0.5362 -1.7199
```

---

# 4
This record from Alexandria via LeMat-Bulk describes AcPuTe2 after structural relaxation. The functional is PBE-GGA.

Properties
- raw total energy (eV per atom) = -7.418
- formation energy from raw total energies (eV per atom) = -1.238
- distance to the lowest polymorph of the same formula (meV per atom) = 55
- space group = R3m

```
4
Lattice="4.4190 0.0000 0.0000 2.2095 3.8270 0.0000 2.2095 1.2757 8.1416" Properties=species:S:1:pos:R:3 pbc="T T T"
Ac 4.4190 2.5513 4.1300
Pu 6.6286 3.8270 8.0744
Te 2.2095 1.2757 6.2921
Te 2.2095 1.2757 1.8575
```

---

# 5
This record from Alexandria via LeMat-Bulk describes TaSIN2 after structural relaxation. The functional is PBE-GGA.

Properties
- raw total energy (eV per atom) = -6.276
- formation energy from raw total energies (eV per atom) = 0.560
- distance to the lowest polymorph of the same formula (meV per atom) = 153
- space group = P4/mmm

```
5
Lattice="3.9943 0.0000 0.0000 0.0000 3.9943 0.0000 0.0000 0.0000 6.1375" Properties=species:S:1:pos:R:3 pbc="T T T"
I 0.0000 0.0000 3.0687
S 1.9972 1.9972 3.0687
N 0.0000 1.9972 0.0000
N 1.9972 0.0000 0.0000
Ta 0.0000 0.0000 0.0000
```

---

# 6
This record from Alexandria via LeMat-Bulk describes Cs2CaSc after structural relaxation. The functional is PBE-GGA.

Properties
- raw total energy (eV per atom) = -1.754
- formation enthalpy at 0 K (meV per atom) = 756.1
- space group = Fm-3m

```
4
Lattice="0.2889 -0.0298 6.8973 -5.3712 -2.3109 3.6697 0.4677 -5.9845 3.4093" Properties=species:S:1:pos:R:3 pbc="T T T"
Cs -1.1536 -2.0813 3.4941
Cs -3.4609 -6.2439 10.4822
Sc -2.3073 -4.1626 6.9881
Ca 0.0000 0.0000 0.0000
```